[1]
Below is an optimized crystal structure of Ti2GaSe, with properties calculated at the PBE level.

POSCAR file:
```
Ti2GaSe
1.0
-3.002 3.754 -2.997
0.839 -3.070 -4.686
-6.120 -2.776 -2.701
Ti Se Ga
4 2 2
Direct
0.875 0.872 0.750 Ti
0.375 0.378 0.750 Ti
0.128 0.625 0.250 Ti
0.622 0.125 0.250 Ti
0.000 0.000 0.000 Se
0.750 0.250 0.500 Se
0.500 0.500 0.000 Ga
0.250 0.750 0.500 Ga
```

Results
Total energy (eV/atom): -5.494
Polymorph energy (0 for the lowest one) (meV per atom): 638.0
Formation energy without anion corrections (meV per atom): 81


[2]
Below is an optimized crystal structure of CrMoCl2, with properties calculated at the PBE level.

POSCAR file:
```
CrMoCl2
1.0
3.511 3.925 6.315
5.189 1.467 6.207
5.811 3.773 4.428
Cr Mo Cl
1 1 2
Direct
0.500 0.500 0.500 Cr
0.000 0.000 0.000 Mo
0.900 0.900 0.900 Cl
0.100 0.100 0.100 Cl
```

Results
Total energy (eV/atom): -5.706
Polymorph energy (0 for the lowest one) (meV per atom): 556.1
Formation energy without anion corrections (meV per atom): 331


[3]
Below is an optimized crystal structure of ReOsI2N, with properties calculated at the PBE level.

POSCAR file:
```
ReOsI2N
1.0
-4.349 1.815 -1.787
-0.754 -3.360 -1.577
-2.341 -1.455 4.219
Re I Os N
1 2 1 1
Direct
0.000 0.500 0.000 Re
0.500 0.000 0.000 I
0.000 0.000 0.500 I
0.500 0.500 0.500 Os
0.000 0.000 0.000 N
```

Results
Total energy (eV/atom): -5.083
Polymorph energy (0 for the lowest one) (meV per atom): 446.1
Formation energy without anion corrections (meV per atom): 1938


[4]
Below is an optimized crystal structure of CaCd2P, with properties calculated at the PBE level.

POSCAR file:
```
CaCd2P
1.0
7.098 0.030 0.019
5.810 4.078 0.019
5.810 1.849 3.634
P Cd Ca
1 2 1
Direct
0.250 0.250 0.250 P
0.978 0.978 0.978 Cd
0.522 0.522 0.522 Cd
0.750 0.750 0.750 Ca
```

Results
Total energy (eV/atom): -2.439
ΔE_f (kJ/mol of atoms): -12


[5]
Below is an optimized crystal structure of ScAl2Hg, with properties calculated at the PBE level.

POSCAR file:
```
ScAl2Hg
1.0
-0.560 4.062 -3.563
0.912 0.589 -5.323
-3.483 -0.329 -2.264
Al Hg Sc
2 1 1
Direct
0.000 0.000 0.000 Al
0.500 0.500 0.500 Al
0.250 0.250 0.250 Hg
0.750 0.750 0.750 Sc
```

Results
Total energy (eV/atom): -3.691
ΔE_f (kJ/mol of atoms): -16


[6]
Below is an optimized crystal structure of KRb2AsPt, with properties calculated at the PBE level.

POSCAR file:
```
KRb2AsPt
1.0
-5.425 -0.964 -4.065
-0.236 -6.581 1.876
-2.846 1.110 3.536
K Rb Pt As
1 2 1 1
Direct
0.500 0.500 0.500 K
0.500 0.000 0.000 Rb
0.000 0.500 0.000 Rb
0.000 0.000 0.000 Pt
0.000 0.000 0.500 As
```

Results
Total energy (eV/atom): -2.923
ΔE_f (kJ/mol of atoms): -17
Polymorph energy (0 for the lowest one) (meV per atom): 0.0


[7]
Below is an optimized crystal structure of UTl2AgCl8, with properties calculated at the PBE level.

POSCAR file:
```
UTl2AgCl8
1.0
6.606 -0.437 -0.013
-0.512 6.671 -0.006
-0.009 0.014 10.092
U Tl Ag Cl
1 2 1 8
Direct
0.000 0.000 0.500 U
0.499 0.498 0.774 Tl
0.501 0.502 0.226 Tl
0.000 0.000 0.000 Ag
0.874 0.215 0.319 Cl
0.657 0.775 0.501 Cl
0.123 0.782 0.320 Cl
0.297 0.247 0.001 Cl
0.126 0.785 0.681 Cl
0.343 0.225 0.499 Cl
0.877 0.218 0.680 Cl
0.703 0.753 0.999 Cl
```

Results
Total energy (eV/atom): -4.052
Formation energy without anion corrections (meV per atom): -1248


[8]
Below is an optimized crystal structure of MgTa2Be, with properties calculated at the PBE level.

POSCAR file:
```
MgTa2Be
1.0
-3.308 1.878 -2.566
-1.869 -0.458 2.074
0.185 4.422 2.999
Mg Ta Be
1 2 1
Direct
0.500 0.750 0.750 Mg
0.000 0.065 0.020 Ta
0.000 0.435 0.480 Ta
0.500 0.250 0.250 Be
```

Results
Total energy (eV/atom): -6.915
ΔE_f (kJ/mol of atoms): 33
Polymorph energy (0 for the lowest one) (meV per atom): 211.2


[9]
Below is an optimized crystal structure of GdTmPtAu, with properties calculated at the PBE level.

POSCAR file:
```
GdTmPtAu
1.0
-0.784 -4.228 2.563
-1.162 -4.220 -2.428
3.322 -3.736 -0.257
Gd Tm Pt Au
1 1 1 1
Direct
0.000 0.000 0.000 Gd
0.500 0.500 0.500 Tm
0.750 0.750 0.750 Pt
0.250 0.250 0.250 Au
```

Results
Total energy (eV/atom): -7.996
ΔE_f (kJ/mol of atoms): -99


[10]
Below is an optimized crystal structure of TbNd6Ga2, with properties calculated at the PBE level.

POSCAR file:
```
TbNd6Ga2
1.0
-3.542 0.258 1.239
-0.795 -4.942 4.464
2.006 5.232 10.359
Nd Ga Tb
6 2 1
Direct
0.311 0.502 0.876 Nd
0.310 0.787 0.593 Nd
0.689 0.498 0.124 Nd
0.972 0.732 0.324 Nd
0.690 0.213 0.407 Nd
0.028 0.268 0.676 Nd
0.356 0.095 0.193 Ga
0.644 0.905 0.807 Ga
0.000 0.000 0.000 Tb
```

Results
Total energy (eV/atom): -4.602
ΔE_f (kJ/mol of atoms): -23


[11]
Below is an optimized crystal structure of La4GeCl5, with properties calculated at the PBE level.

POSCAR file:
```
La4GeCl5
1.0
4.220 0.000 0.000
0.000 8.593 -0.513
-2.110 -1.747 9.081
Cl La Ge
5 4 1
Direct
0.500 0.500 0.000 Cl
0.833 0.675 0.666 Cl
0.168 0.851 0.337 Cl
0.167 0.325 0.334 Cl
0.832 0.149 0.663 Cl
0.660 0.090 0.320 La
0.999 0.762 0.998 La
0.340 0.910 0.680 La
0.001 0.238 0.002 La
0.500 0.000 0.000 Ge
```

Results
Total energy (eV/atom): -5.196
Formation energy without anion corrections (meV per atom): -1840


[12]
Below is an optimized crystal structure of LiMgZnNi, with properties calculated at the PBE level.

POSCAR file:
```
LiMgZnNi
1.0
-2.376 2.647 -2.413
-2.572 -1.599 -3.051
-4.267 0.121 0.506
Li Ni Mg Zn
1 1 1 1
Direct
0.750 0.750 0.750 Li
0.250 0.250 0.250 Ni
0.000 0.000 0.000 Mg
0.500 0.500 0.500 Zn
```

Results
Total energy (eV/atom): -2.837
ΔE_f (kJ/mol of atoms): -19


[13]
Below is an optimized crystal structure of Al6Fe, with properties calculated at the PBE level.

POSCAR file:
```
Al6Fe
1.0
4.912 0.017 0.000
-0.681 4.865 0.000
0.000 0.000 8.820
Al Fe
12 2
Direct
0.391 0.028 0.250 Al
0.146 0.146 0.599 Al
0.146 0.146 0.901 Al
0.028 0.391 0.250 Al
0.677 0.323 0.000 Al
0.677 0.323 0.500 Al
0.609 0.972 0.750 Al
0.323 0.677 0.000 Al
0.854 0.854 0.099 Al
0.854 0.854 0.401 Al
0.972 0.609 0.750 Al
0.323 0.677 0.500 Al
0.461 0.461 0.750 Fe
0.539 0.539 0.250 Fe
```

Results
Total energy (eV/atom): -4.617
ΔE_f (kJ/mol of atoms): -19


[14]
Below is an optimized crystal structure of ScBeW2Au, with properties calculated at the PBE level.

POSCAR file:
```
ScBeW2Au
1.0
-0.742 2.501 3.840
0.792 -3.564 2.474
4.506 1.106 0.151
Au W Be Sc
1 2 1 1
Direct
0.500 0.500 0.500 Au
0.500 0.000 0.000 W
0.000 0.000 0.500 W
0.000 0.500 0.000 Be
0.000 0.000 0.000 Sc
```

Results
Total energy (eV/atom): -5.660
ΔE_f (kJ/mol of atoms): 211


[15]
Below is an optimized crystal structure of BaTa2SiHg, with properties calculated at the PBE level.

POSCAR file:
```
BaTa2SiHg
1.0
4.844 0.000 0.000
0.000 4.844 0.000
0.000 0.000 5.973
Ta Ba Si Hg
2 1 1 1
Direct
0.500 0.000 0.000 Ta
0.000 0.500 0.000 Ta
0.000 0.000 0.500 Ba
0.000 0.000 0.000 Si
0.500 0.500 0.500 Hg
```

Results
Total energy (eV/atom): -5.374
Formation energy without anion corrections (meV per atom): 896


[16]
Below is an optimized crystal structure of CuPt7Rh2, with properties calculated at the PBE level.

POSCAR file:
```
CuPt7Rh2
1.0
-2.994 -2.473 1.186
4.481 -5.876 -0.943
-0.433 3.635 6.488
Pt Cu Rh
7 1 2
Direct
0.000 0.808 0.192 Pt
0.500 0.917 0.708 Pt
0.000 0.192 0.808 Pt
0.500 0.500 0.500 Pt
0.500 0.708 0.917 Pt
0.500 0.292 0.083 Pt
0.500 0.083 0.292 Pt
0.000 0.000 0.000 Cu
0.500 0.698 0.302 Rh
0.500 0.302 0.698 Rh
```

Results
Total energy (eV/atom): -5.656
ΔE_f (kJ/mol of atoms): 44


[17]
Below is an optimized crystal structure of Hf2MnHgH, with properties calculated at the PBE level.

POSCAR file:
```
Hf2MnHgH
1.0
4.596 0.000 0.000
0.000 4.596 0.000
0.000 0.000 3.623
H Hg Mn Hf
1 1 1 2
Direct
0.000 0.000 0.000 H
0.500 0.500 0.500 Hg
0.000 0.000 0.500 Mn
0.000 0.500 0.000 Hf
0.500 0.000 0.000 Hf
```

Results
Total energy (eV/atom): -6.609